# 1
Here is Mg2TeOsN after structural relaxation from Alexandria via LeMat-Bulk. Energies are from PBE.

Computed properties:
Space-group type = P4/mmm
Density of states at the Fermi level = 0.46 states/eV per atom
Total DFT energy (no corrections) = -26.11 eV for the cell shown

a b c (Å): 4.702 3.871 4.702
angles (deg): 90.00 90.00 90.00
Sites, in units of the cell vectors:
Mg  0.000  0.000  0.500
Mg  0.500  0.000  0.000
Te  0.500  0.500  0.500
Os  0.000  0.500  0.000
N  0.000  0.000  0.000



# 2
Here is ThMg2OsN4 after structural relaxation from Alexandria via LeMat-Bulk. Energies are from PBE.

Computed properties:
Space-group type = Cmcm
Density of states at the Fermi level = 0.26 states/eV per atom
Total DFT energy (no corrections) = -117.64 eV for the cell shown

a b c (Å): 3.446 5.952 10.675
angles (deg): 90.00 90.00 106.83
Sites, in units of the cell vectors:
Th  0.105  0.211  0.750
Th  0.895  0.789  0.250
Mg  0.382  0.763  0.534
Mg  0.618  0.237  0.034
Mg  0.618  0.237  0.466
Mg  0.382  0.763  0.966
Os  0.842  0.685  0.750
Os  0.158  0.315  0.250
N  0.282  0.564  0.126
N  0.718  0.436  0.626
N  0.718  0.436  0.874
N  0.282  0.564  0.374
N  0.000  0.000  0.500
N  0.000  0.000  0.000
N  0.424  0.849  0.750
N  0.576  0.151  0.250



# 3
Here is MgP2N after structural relaxation from Alexandria via LeMat-Bulk. Energies are from PBE.

Computed properties:
Space-group type = I-42d
Density of states at the Fermi level = 0.47 states/eV per atom
Total DFT energy (no corrections) = -38.63 eV for the cell shown
Energy relative to the lowest polymorph listed for this composition = 0 meV/atom

a b c (Å): 5.707 5.707 5.451
angles (deg): 58.43 58.43 90.00
Sites, in units of the cell vectors:
P  0.524  0.125  0.250
P  0.226  0.625  0.250
P  0.375  0.476  0.750
P  0.875  0.774  0.750
Mg  0.000  0.000  0.000
Mg  0.750  0.250  0.500
N  0.500  0.500  0.000
N  0.250  0.750  0.500



# 4
Here is Mg2PN after structural relaxation from Alexandria via LeMat-Bulk. Energies are from PBE.

Computed properties:
Space-group type = I-42d
Density of states at the Fermi level = 0.26 states/eV per atom
Total DFT energy (no corrections) = -34.83 eV for the cell shown
Energy relative to the lowest polymorph listed for this composition = 0 meV/atom

a b c (Å): 6.438 6.438 5.385
angles (deg): 53.29 53.29 90.00
Sites, in units of the cell vectors:
P  0.000  0.000  0.000
P  0.750  0.250  0.500
Mg  0.540  0.125  0.250
Mg  0.210  0.625  0.250
Mg  0.375  0.460  0.750
Mg  0.875  0.790  0.750
N  0.500  0.500  0.000
N  0.250  0.750  0.500



# 5
Here is MgPN after structural relaxation from Alexandria via LeMat-Bulk. Energies are from PBE.

Computed properties:
Space-group type = P2_1
Total DFT energy (no corrections) = -33.11 eV for the cell shown
Energy relative to the lowest polymorph listed for this composition = 259 meV/atom

a b c (Å): 4.431 4.345 5.047
angles (deg): 90.00 109.91 90.00
Sites, in units of the cell vectors:
P  0.555  0.248  0.713
P  0.445  0.748  0.287
Mg  0.135  0.840  0.761
Mg  0.865  0.340  0.239
N  0.295  0.532  0.506
N  0.705  0.032  0.494



# 6
Here is MgPN after structural relaxation from Alexandria via LeMat-Bulk. Energies are from PBE.

Computed properties:
Space-group type = Imm2
Density of states at the Fermi level = 0.00 states/eV per atom
Total DFT energy (no corrections) = -69.34 eV for the cell shown
Energy relative to the lowest polymorph listed for this composition = 0 meV/atom

a b c (Å): 9.749 3.367 5.228
angles (deg): 90.00 90.00 90.00
Sites, in units of the cell vectors:
P  0.000  0.000  0.292
P  0.500  0.500  0.792
P  0.000  0.500  0.569
P  0.500  0.000  0.069
Mg  0.307  0.000  0.414
Mg  0.693  0.000  0.414
Mg  0.807  0.500  0.914
Mg  0.193  0.500  0.914
N  0.146  0.000  0.138
N  0.854  0.000  0.138
N  0.646  0.500  0.638
N  0.354  0.500  0.638



# 7
Here is MgPN after structural relaxation from Alexandria via LeMat-Bulk. Energies are from PBE.

Computed properties:
Space-group type = P1
Density of states at the Fermi level = 0.18 states/eV per atom
Total DFT energy (no corrections) = -16.52 eV for the cell shown
Energy relative to the lowest polymorph listed for this composition = 271 meV/atom

a b c (Å): 2.957 2.957 4.537
angles (deg): 88.02 87.16 89.82
Sites, in units of the cell vectors:
P  0.599  0.866  0.125
Mg  0.128  0.386  0.622
N  0.620  0.880  0.762



# 8
Here is Mg4PN2 after structural relaxation from Alexandria via LeMat-Bulk. Energies are from PBE.

Computed properties:
Space-group type = Imma
Density of states at the Fermi level = 0.42 states/eV per atom
Total DFT energy (no corrections) = -63.09 eV for the cell shown

a b c (Å): 6.028 6.797 6.797
angles (deg): 62.26 63.68 63.68
Sites, in units of the cell vectors:
Mg  0.284  0.181  0.251
Mg  0.284  0.751  0.681
Mg  0.265  0.246  0.746
Mg  0.743  0.246  0.746
Mg  0.257  0.754  0.254
Mg  0.716  0.249  0.319
Mg  0.735  0.754  0.254
Mg  0.716  0.819  0.749
P  0.000  0.500  0.000
P  0.500  0.500  0.000
N  0.143  0.107  0.607
N  0.500  0.000  0.000
N  0.500  0.500  0.500
N  0.857  0.893  0.393



# 9
Here is Mg2PN after structural relaxation from Alexandria via LeMat-Bulk. Energies are from PBE.

Computed properties:
Space-group type = Fm-3m
Density of states at the Fermi level = 0.64 states/eV per atom
Total DFT energy (no corrections) = -15.85 eV for the cell shown
Energy relative to the lowest polymorph listed for this composition = 390 meV/atom

a b c (Å): 4.310 4.310 4.310
angles (deg): 60.00 60.00 60.00
Sites, in units of the cell vectors:
P  0.500  0.500  0.500
Mg  0.250  0.250  0.250
Mg  0.750  0.750  0.750
N  0.000  0.000  0.000



# 10
Here is MgPN after structural relaxation from Alexandria via LeMat-Bulk. Energies are from PBE.

Computed properties:
Space-group type = Imm2
Total DFT energy (no corrections) = -68.49 eV for the cell shown
Energy relative to the lowest polymorph listed for this composition = 71 meV/atom

a b c (Å): 9.387 3.304 5.352
angles (deg): 90.00 90.00 90.00
Sites, in units of the cell vectors:
P  0.000  0.500  0.869
P  0.500  0.000  0.369
P  0.000  0.000  0.583
P  0.500  0.500  0.083
Mg  0.277  0.000  0.878
Mg  0.723  0.000  0.878
Mg  0.777  0.500  0.378
Mg  0.223  0.500  0.378
N  0.654  0.000  0.508
N  0.346  0.000  0.508
N  0.154  0.500  0.008
N  0.846  0.500  0.008



# 11
Here is MgPN after structural relaxation from Alexandria via LeMat-Bulk. Energies are from PBE.

Computed properties:
Space-group type = Amm2
Density of states at the Fermi level = 0.00 states/eV per atom
Total DFT energy (no corrections) = -68.97 eV for the cell shown
Energy relative to the lowest polymorph listed for this composition = 30 meV/atom

a b c (Å): 3.180 9.071 5.485
angles (deg): 90.00 90.00 90.00
Sites, in units of the cell vectors:
P  0.000  0.000  0.830
P  0.000  0.500  0.330
P  0.500  0.000  0.553
P  0.500  0.500  0.053
Mg  0.500  0.284  0.727
Mg  0.500  0.716  0.727
Mg  0.500  0.784  0.227
Mg  0.500  0.216  0.227
N  0.000  0.159  0.971
N  0.000  0.841  0.971
N  0.000  0.659  0.471
N  0.000  0.341  0.471



# 12
Here is MgPN after structural relaxation from Alexandria via LeMat-Bulk. Energies are from PBE.

Computed properties:
Space-group type = Pm
Total DFT energy (no corrections) = -34.24 eV for the cell shown
Energy relative to the lowest polymorph listed for this composition = 72 meV/atom

a b c (Å): 5.187 3.315 5.485
angles (deg): 90.00 115.93 90.00
Sites, in units of the cell vectors:
P  0.659  0.500  0.851
P  0.676  0.000  0.138
Mg  0.296  0.500  0.206
Mg  0.097  0.000  0.649
N  0.353  0.500  0.592
N  0.956  0.500  0.825



no.,uncorrected formation energy (meV per atom)
1,-44
2,-460
3,356
4,-123
5,-409
6,-668
7,-397
8,-444
9,267
10,-597
11,-638
12,-597